Record 1
# NaH2IO

A relaxed structure of NaH2IO (PBE, Alexandria via LeMat-Bulk).

The structure in POSCAR format:
```
NaH2IO
1.0
4.152 0.000 0.000
-2.076 5.746 0.000
0.000 0.000 7.211
H O I Na
4 2 2 2
Direct
0.074 0.148 0.935 H
0.926 0.852 0.435 H
0.074 0.148 0.565 H
0.926 0.852 0.065 H
0.000 0.000 0.000 O
0.000 0.000 0.500 O
0.302 0.604 0.250 I
0.698 0.396 0.750 I
0.416 0.832 0.750 Na
0.584 0.168 0.250 Na
```

Computed properties:
As for the space-group type: Cmcm. As for the volume: 172.1 Å³/cell. The total energy comes out at -3.734 eV per atom.

---

Record 2
# Ti2BiRh2

A relaxed structure of Ti2BiRh2 (PBE, Alexandria via LeMat-Bulk).

The structure in POSCAR format:
```
Ti2BiRh2
1.0
-3.763 -1.822 0.569
1.548 -2.178 3.265
-2.528 1.971 5.239
Bi Rh Ti
1 2 2
Direct
0.000 0.000 0.000 Bi
0.377 0.377 0.245 Rh
0.623 0.623 0.755 Rh
0.250 0.750 0.500 Ti
0.750 0.250 0.500 Ti
```

Computed properties:
As for the space-group type: I4/mmm. As for the volume: 95.6 Å³/cell. The value obtained for the offset from the most stable computed form is 57 meV/atom. Its formation enthalpy at 0 K is -436 meV/atom. The total energy comes out at -7.310 eV per atom.

---

Record 3
# Sm3In2Pb

A relaxed structure of Sm3In2Pb (PBE, Alexandria via LeMat-Bulk).

The structure in POSCAR format:
```
Sm3In2Pb
1.0
-0.434 4.089 1.657
0.046 -1.893 4.683
15.153 1.433 0.429
Sm In Pb
6 4 2
Direct
0.501 0.000 0.500 Sm
0.500 0.500 0.667 Sm
0.499 0.500 0.000 Sm
0.500 0.000 0.833 Sm
0.500 0.500 0.333 Sm
0.500 0.000 0.167 Sm
0.000 0.500 0.171 In
0.000 0.000 0.329 In
0.000 0.000 0.671 In
0.000 0.500 0.829 In
0.000 0.500 0.500 Pb
0.000 0.000 0.000 Pb
```

Computed properties:
As for the space-group type: Pmmn. As for the volume: 341.0 Å³/cell. Its formation enthalpy at 0 K is -490 meV/atom. The total energy comes out at -4.381 eV per atom.

---

Record 4
# NpCdRh2

A relaxed structure of NpCdRh2 (PBE, Alexandria via LeMat-Bulk).

The structure in POSCAR format:
```
NpCdRh2
1.0
3.588 0.000 0.000
0.000 4.499 0.000
0.000 0.000 4.499
Cd Rh Np
1 2 1
Direct
0.500 0.500 0.500 Cd
0.000 0.500 0.000 Rh
0.000 0.000 0.500 Rh
0.500 0.000 0.000 Np
```

Computed properties:
As for the space-group type: P4/mmm. As for the volume: 72.6 Å³/cell. Its formation enthalpy at 0 K is -292 meV/atom. The total energy comes out at -7.431 eV per atom.

---

Q: Which of these has the highest volume?
A: Sm3In2Pb

---

Q: The highest volume belongs to which entry?
A: Sm3In2Pb

---

Q: volume of number 2 (Ti2BiRh2)?
A: 95.6 Å³/cell